CoI2OF after structural relaxation, computed with GGA+U.

Lattice parameters (Å, degrees): 5.1403 5.1403 3.9385 90.00 90.00 90.00
With the nearest neighbours (Å) after each atom.
Sites, in units of the cell vectors:
Co 0.0000 0.0000 0.0000  8 I 3.24
I 0.0000 0.5000 0.5000  2 F 2.57
I 0.5000 0.0000 0.5000  2 F 2.57
O 0.5000 0.5000 0.0000  2 F 1.97
F 0.5000 0.5000 0.5000  2 O 1.97

Summary:
The energy is -2.031 eV per atom. Its spin magnetization is 0.1 μB/f.u. The crystal system is tetragonal. The calculation puts the density of states at the Fermi level at 7.13 states/eV per cell.